Record 1
An optimized crystal structure of V2GePtF. Source: Alexandria, functional GGA+U.

abc: 4.142 4.726 4.142
angles: 90.00 90.00 90.00
Fractional coordinates of all 5 atoms:
Ge 0.000 0.500 0.000
F 0.000 0.000 0.000
Pt 0.500 0.500 0.500
V 0.000 0.000 0.500
V 0.500 0.000 0.000



Record 2
An optimized crystal structure of VGePt2F. Source: Alexandria, functional GGA+U.

abc: 4.735 3.930 4.735
angles: 90.00 90.00 90.00
Fractional coordinates of all 5 atoms:
Ge 0.000 0.000 0.000
F 0.000 0.500 0.000
Pt 0.000 0.000 0.500
Pt 0.500 0.000 0.000
V 0.500 0.500 0.500



no.,uncorrected energy (eV per atom)
1,-5.54
2,-5.03